# PHF

An optimized crystal structure of PHF (GGA-PBE, the Alexandria database).

Results
**DFT total energy**: -4.534 eV/atom
**DOS(E_F)**: 0.000 states/eV/cell

extended XYZ file:
```
6
Lattice="4.782 0.129 -0.174 2.501 4.682 -0.246 1.017 1.719 5.071" Properties=species:S:1:pos:R:3 pbc="T T T"
P 2.655 1.651 3.205
F 3.474 4.630 1.300
P 2.142 0.986 1.100
H 5.822 5.096 3.217
H 3.851 2.286 2.756
F 5.985 2.393 0.566
```

# PHF

An optimized crystal structure of PHF (GGA-PBE, the Alexandria database).

Results
**DFT total energy**: -4.077 eV/atom
**DOS(E_F)**: 1.084 states/eV/cell

extended XYZ file:
```
3
Lattice="-0.361 -1.637 1.806 1.728 -1.459 -0.978 3.646 2.381 2.888" Properties=species:S:1:pos:R:3 pbc="T T T"
H 0.005 0.004 0.004
P 2.618 1.710 2.074
F 1.447 0.945 1.146
```

> DOS(E_F) of number 2 (PHF)?

1.084 states/eV/cell

Please write out number 1 again, unchanged.
# PHF

An optimized crystal structure of PHF (GGA-PBE, the Alexandria database).

Results
**DFT total energy**: -4.534 eV/atom
**DOS(E_F)**: 0.000 states/eV/cell

extended XYZ file:
```
6
Lattice="4.782 0.129 -0.174 2.501 4.682 -0.246 1.017 1.719 5.071" Properties=species:S:1:pos:R:3 pbc="T T T"
P 2.655 1.651 3.205
F 3.474 4.630 1.300
P 2.142 0.986 1.100
H 5.822 5.096 3.217
H 3.851 2.286 2.756
F 5.985 2.393 0.566
```